[1]
Entry from Alexandria via LeMat-Bulk: an optimized crystal structure of CoSiP2Os (PBE).

Cell lengths 4.5287, 4.5287, 4.6465 Å; angles 90.00, 90.00, 90.00 degrees
Closest atoms and distances in Å follow each position.
Fractional coordinates of all 5 atoms:
Co 0.0000 0.0000 0.0000  4 Si 3.20, 8 P 3.24
Si 0.5000 0.5000 0.0000  2 Os 2.32
P 0.0000 0.5000 0.5000  2 Os 2.26
P 0.5000 0.0000 0.5000  2 Os 2.26
Os 0.5000 0.5000 0.5000  4 P 2.26, 2 Si 2.32

Properties
N(E_F) = 0.851 states/eV/atom
space-group type = P4/mmm (123)
uncorrected energy = -28.8 eV per cell

---

[2]
Entry from Alexandria via LeMat-Bulk: an optimized crystal structure of NaSr2GeF (PBE).

Cell lengths 6.0764, 6.0764, 5.4035 Å; angles 90.00, 90.00, 90.00 degrees
Closest atoms and distances in Å follow each position.
Fractional coordinates of all 5 atoms:
Na 0.0000 0.0000 0.0000  2 Ge 2.70
Sr 0.0000 0.5000 0.5000  2 Ge 3.04
Sr 0.5000 0.0000 0.5000  2 Ge 3.04
Ge 0.0000 0.0000 0.5000  2 Na 2.70
F 0.5000 0.5000 0.0000  8 Sr 4.07, 4 Na 4.30

Properties
N(E_F) = 0.111 states/eV/atom
space-group type = P4/mmm (123)
polymorph energy (0 for the lowest one) = 603 meV/atom

---

[3]
Entry from Alexandria via LeMat-Bulk: an optimized crystal structure of Sr2CaAu (PBE).

Cell lengths 7.4163, 7.4163, 5.9454 Å; angles 113.58, 113.58, 30.64 degrees
Closest atoms and distances in Å follow each position.
Fractional coordinates of all 4 atoms:
Sr 0.0000 0.0000 0.0000  2 Au 3.20
Sr 0.1891 0.1891 0.6893  4 Au 3.55-3.57, 2 Ca 3.80, 4 Sr 3.86-3.92
Ca 0.3707 0.3707 0.3710  2 Au 3.02
Au 0.6943 0.6943 0.1962  2 Ca 3.02, 2 Sr 3.20

Properties
N(E_F) = 0.883 states/eV/atom
space-group type = Cm (8)
formation enthalpy at 0 K = -8.42 kcal/mol of atoms
polymorph energy (0 for the lowest one) = 90 meV/atom

---

[4]
Entry from Alexandria via LeMat-Bulk: an optimized crystal structure of PuUTc4 (PBE).

Cell lengths 5.3382, 5.3382, 5.3382 Å; angles 60.00, 60.00, 60.00 degrees
Closest atoms and distances in Å follow each position.
Fractional coordinates of all 6 atoms:
Pu 0.0000 0.0000 0.0000  12 Tc 3.13, 4 U 3.27
U 0.7500 0.7500 0.7500  12 Tc 3.13, 4 Pu 3.27
Tc 0.3747 0.3747 0.3747  6 Tc 2.66-2.68
Tc 0.3747 0.3747 0.8760  6 Tc 2.66-2.68
Tc 0.3747 0.8760 0.3747  6 Tc 2.66-2.68
Tc 0.8760 0.3747 0.3747  6 Tc 2.66-2.68

Properties
N(E_F) = 2.164 states/eV/atom
space-group type = F-43m (216)
formation enthalpy at 0 K = 0.98 kcal/mol of atoms
polymorph energy (0 for the lowest one) = 0 meV/atom